No. 1
Compound: K2TiF6
Source: the Alexandria database
Functional: meta-GGA SCAN
Structure: single point on PBEsol structure

Size of the total moment, μB per formula unit: 0.00
Formation energy without anion corrections, eV per atom: -3.47

Cell lengths 5.6935, 5.6935, 4.6198 Å; angles 90.00, 90.00, 120.00 degrees
With the nearest neighbours (Å) after each atom.
Element x y z (fractional)
K 0.3333 0.6667 0.3015  12 F 2.78-2.99
K 0.6667 0.3333 0.6985  12 F 2.78-2.99
Ti 0.0000 0.0000 0.0000  6 F 1.88
F 0.1580 0.3159 0.7732  1 Ti 1.88
F 0.1580 0.8420 0.7732  1 Ti 1.88
F 0.3159 0.1580 0.2268  1 Ti 1.88
F 0.6841 0.8420 0.7732  1 Ti 1.88
F 0.8420 0.1580 0.2268  1 Ti 1.88
F 0.8420 0.6841 0.2268  1 Ti 1.88

No. 2
Compound: Sb2PdSe
Source: the Alexandria database
Functional: meta-GGA SCAN
Structure: single point on PBEsol structure

Size of the total moment, μB per formula unit: 0.00
Formation energy without anion corrections, eV per atom: -0.07

Cell lengths 7.5809, 7.5809, 7.5809 Å; angles 132.60, 132.60, 69.29 degrees
With the nearest neighbours (Å) after each atom.
Element x y z (fractional)
Sb 0.0854 0.6250 0.9604  2 Pd 2.53, 2 Se 2.80
Sb 0.3750 0.3354 0.4604  2 Pd 2.53, 2 Se 2.80
Sb 0.6646 0.1250 0.0396  2 Pd 2.53, 2 Se 2.80
Sb 0.8750 0.9146 0.5396  2 Pd 2.53, 2 Se 2.80
Pd 0.0000 0.0000 0.0000  4 Sb 2.53
Pd 0.7500 0.2500 0.5000  4 Sb 2.53
Se 0.2500 0.7500 0.5000  4 Sb 2.80
Se 0.5000 0.5000 0.0000  4 Sb 2.80

No. 3
Compound: Sr2MgMoO
Source: the Alexandria database
Functional: meta-GGA SCAN
Structure: single point on PBEsol structure

Size of the total moment, μB per formula unit: 2.93
Formation energy without anion corrections, eV per atom: -0.45

Cell lengths 5.2029, 5.2029, 4.0968 Å; angles 90.00, 90.00, 90.00 degrees
With the nearest neighbours (Å) after each atom.
Element x y z (fractional)
Sr 0.0000 0.5000 0.0000  2 O 2.60
Sr 0.5000 0.0000 0.0000  2 O 2.60
Mg 0.0000 0.0000 0.5000  2 O 2.05
Mo 0.5000 0.5000 0.5000  8 Sr 3.31, 4 Mg 3.68
O 0.0000 0.0000 0.0000  2 Mg 2.05